Entry from the Alexandria database: MoPHO2 after structural relaxation (PBE+U).

Unit cell a=3.961 b=3.961 c=3.059 alpha=90.00 beta=90.00 gamma=90.00
Positions (direct):
Mo 0.000 0.000 0.000
P 0.500 0.500 0.000
H 0.500 0.500 0.500
O 0.000 0.500 0.500
O 0.500 0.000 0.500

Results
* calculated total energy: -23.4 eV for the cell shown
* total magnetization: 1.740 μB per formula unit
* D(E_F): 1.99 states/eV/f.u.